Here is CdNiF3 after structural relaxation from Alexandria. Energies are from PBE+U.

The structure in POSCAR format:
```
CdNiF3
1.0
4.068 0.000 0.000
0.000 4.068 0.000
0.000 0.000 4.068
Cd Ni F
1 1 3
Direct
0.000 0.000 0.000
0.500 0.500 0.500
0.000 0.500 0.500
0.500 0.000 0.500
0.500 0.500 0.000
```

Summary:
uncorrected energy	-17.7	eV/cell